Here is PrTm2Pu after structural relaxation from Alexandria. Energies are from PBE-GGA.

CIF file:
```
data_PrTm2Pu
_chemical_formula_sum 'Pr3 Tm6 Pu3'
_cell_length_a 3.4170
_cell_length_b 3.4170
_cell_length_c 36.7350
_cell_angle_alpha 90.00
_cell_angle_beta 90.00
_cell_angle_gamma 120.00
_space_group_name_H-M_alt 'R -3 m'
_space_group_IT_number 166
_space_group_name_Hall '-R 3 2"'
loop_
_atom_site_label
_atom_site_type_symbol
_atom_site_fract_x
_atom_site_fract_y
_atom_site_fract_z
_atom_site_occupancy
Pr1 Pr 0.0000 0.0000 0.0000 1
Tm1 Tm 0.0000 0.0000 0.0921 1
Pu1 Pu 0.0000 0.0000 0.5000 1
```

ΔH_f (0 K) ... 22.3 kJ/mol of atoms
Spin magnetization ... 5.7 μB/f.u.
Electronic total energy ... -81.4 eV/cell
Distance to the lowest polymorph of the same formula ... 133 meV per atom

Here is PrTm2Pu after structural relaxation from Alexandria. Energies are from PBE-GGA.

CIF file:
```
data_PrTm2Pu
_chemical_formula_sum 'Pr3 Tm6 Pu3'
_cell_length_a 3.5265
_cell_length_b 3.5265
_cell_length_c 34.3825
_cell_angle_alpha 90.00
_cell_angle_beta 90.00
_cell_angle_gamma 120.00
_space_group_name_H-M_alt 'R 3 m'
_space_group_IT_number 160
_space_group_name_Hall 'R 3 -2"'
loop_
_atom_site_label
_atom_site_type_symbol
_atom_site_fract_x
_atom_site_fract_y
_atom_site_fract_z
_atom_site_occupancy
Pr1 Pr 0.0000 0.0000 0.0000 1
Tm1 Tm 0.0000 0.0000 0.5796 1
Tm2 Tm 0.0000 0.0000 0.7524 1
Pu1 Pu 0.0000 0.0000 0.1656 1
```

ΔH_f (0 K) ... 10.6 kJ/mol of atoms
Spin magnetization ... 6.1 μB/f.u.
Electronic total energy ... -82.8 eV/cell
Distance to the lowest polymorph of the same formula ... 12 meV per atom

Here is Pr8Tm3Pu after structural relaxation from Alexandria. Energies are from PBE-GGA.

CIF file:
```
data_Pr8Tm3Pu
_chemical_formula_sum 'Pr16 Tm6 Pu2'
_cell_length_a 7.069
_cell_length_b 11.977
_cell_length_c 9.910
_cell_angle_alpha 90.00
_cell_angle_beta 104.37
_cell_angle_gamma 90.00
_space_group_name_H-M_alt 'C 1 2/m 1'
_space_group_IT_number 12
_space_group_name_Hall '-C 2y'
loop_
_atom_site_label
_atom_site_type_symbol
_atom_site_fract_x
_atom_site_fract_y
_atom_site_fract_z
_atom_site_occupancy
Pr1 Pr 0.065 0.241 0.335 1
Pr2 Pr 0.179 0.500 0.176 1
Pr3 Pr 0.183 0.000 0.161 1
Tm1 Tm 0.000 0.500 0.500 1
Tm2 Tm 0.250 0.250 0.000 1
Pu1 Pu 0.000 0.000 0.500 1
```

ΔH_f (0 K) ... 13.1 kJ/mol of atoms
Spin magnetization ... 6.8 μB/f.u.
Electronic total energy ... -128.7 eV/cell

Here is PrTm2Pu after structural relaxation from Alexandria. Energies are from PBE-GGA.

CIF file:
```
data_PrTm2Pu
_chemical_formula_sum 'Pr1 Tm2 Pu1'
_cell_length_a 5.772
_cell_length_b 5.772
_cell_length_c 3.728
_cell_angle_alpha 90.00
_cell_angle_beta 90.00
_cell_angle_gamma 90.00
_space_group_name_H-M_alt 'P 4/m m m'
_space_group_IT_number 123
_space_group_name_Hall '-P 4 2'
loop_
_atom_site_label
_atom_site_type_symbol
_atom_site_fract_x
_atom_site_fract_y
_atom_site_fract_z
_atom_site_occupancy
Pr1 Pr 0.000 0.000 0.000 1
Tm1 Tm 0.000 0.500 0.500 1
Pu1 Pu 0.500 0.500 0.000 1
```

ΔH_f (0 K) ... 18.1 kJ/mol of atoms
Spin magnetization ... 6.4 μB/f.u.
Electronic total energy ... -27.3 eV/cell
Distance to the lowest polymorph of the same formula ... 90 meV per atom